--- one ---
VASP calculation (GGA-PBE) on a relaxed structure of SrGaSN2.

The space group is P4/mmm (No. 123) and the conventional cell measures 4.122, 4.122 and 4.977 Å, with angles of 90.00, 90.00 and 90.00 degrees. The inequivalent atoms are Sr at (0.000, 0.000, 0.000), Ga at (0.500, 0.500, 0.500), S at (0.500, 0.500, 0.000) and N at (0.000, 0.500, 0.500).

As for the size of the total moment: 3.0 μB/cell.

***

--- two ---
VASP calculation (GGA-PBE) on a relaxed structure of SrGaSN2.

The space group is P4/mmm (No. 123) and the conventional cell measures 4.929, 4.929 and 5.849 Å, with angles of 90.00, 90.00 and 90.00 degrees. The inequivalent atoms are Sr at (0.000, 0.000, 0.000), Ga at (0.500, 0.500, 0.500), S at (0.000, 0.000, 0.500) and N at (0.000, 0.500, 0.000).

As for the size of the total moment: 5.0 μB/cell.

***

The least stable of them is two.

***

--- one ---
VASP calculation (GGA-PBE) on a relaxed structure of TaGaSN2.

The space group is P4/mmm (No. 123) and the conventional cell measures 3.777, 3.777 and 4.684 Å, with angles of 90.00, 90.00 and 90.00 degrees. The inequivalent atoms are Ta at (0.000, 0.000, 0.000), Ga at (0.500, 0.500, 0.500), S at (0.500, 0.500, 0.000) and N at (0.000, 0.500, 0.500).

As for the size of the total moment: 0.1 μB/cell.

***

--- two ---
VASP calculation (GGA-PBE) on a relaxed structure of TaGaSN2.

The space group is P4/mmm (No. 123) and the conventional cell measures 3.998, 3.998 and 5.186 Å, with angles of 90.00, 90.00 and 90.00 degrees. The inequivalent atoms are Ta at (0.000, 0.000, 0.000), Ga at (0.500, 0.500, 0.500), S at (0.000, 0.000, 0.500) and N at (0.000, 0.500, 0.000).

As for the size of the total moment: 0.7 μB/cell.

***

The least stable of them is one.

***

--- one ---
VASP calculation (GGA-PBE) on a relaxed structure of TaGaS2N.

The space group is P4/mmm (No. 123) and the conventional cell measures 4.939, 4.939 and 3.957 Å, with angles of 90.00, 90.00 and 90.00 degrees. The inequivalent atoms are Ta at (0.000, 0.000, 0.000), Ga at (0.500, 0.500, 0.500), S at (0.000, 0.500, 0.000) and N at (0.000, 0.000, 0.500).

As for the size of the total moment: 0.0 μB/cell.

***

--- two ---
VASP calculation (GGA-PBE) on a relaxed structure of TaGaS2N.

The space group is P4/mmm (No. 123) and the conventional cell measures 4.745, 4.745 and 3.536 Å, with angles of 90.00, 90.00 and 90.00 degrees. The inequivalent atoms are Ta at (0.000, 0.000, 0.000), Ga at (0.500, 0.500, 0.500), S at (0.000, 0.500, 0.500) and N at (0.500, 0.500, 0.000).

As for the size of the total moment: 0.0 μB/cell.

***

The least stable of them is two.

***

--- one ---
VASP calculation (GGA-PBE) on a relaxed structure of GaTcS2N.

The space group is P4/mmm (No. 123) and the conventional cell measures 4.846, 4.846 and 3.724 Å, with angles of 90.00, 90.00 and 90.00 degrees. The inequivalent atoms are Ga at (0.000, 0.000, 0.000), Tc at (0.500, 0.500, 0.500), S at (0.000, 0.500, 0.500) and N at (0.500, 0.500, 0.000).

As for the size of the total moment: 0.0 μB/cell.

***

--- two ---
VASP calculation (GGA-PBE) on a relaxed structure of GaTcS2N.

The space group is P4/mmm (No. 123) and the conventional cell measures 4.526, 4.526 and 5.144 Å, with angles of 90.00, 90.00 and 90.00 degrees. The inequivalent atoms are Ga at (0.000, 0.000, 0.000), Tc at (0.000, 0.000, 0.500), S at (0.000, 0.500, 0.500) and N at (0.500, 0.500, 0.000).

As for the size of the total moment: 2.5 μB/cell.

***

The least stable of them is two.

***

--- one ---
VASP calculation (GGA-PBE) on a relaxed structure of GaTcSN2.

The space group is P4/mmm (No. 123) and the conventional cell measures 3.833, 3.833 and 4.894 Å, with angles of 90.00, 90.00 and 90.00 degrees. The inequivalent atoms are Ga at (0.000, 0.000, 0.000), Tc at (0.500, 0.500, 0.500), S at (0.000, 0.000, 0.500) and N at (0.000, 0.500, 0.000).

As for the size of the total moment: 1.5 μB/cell.

***

--- two ---
VASP calculation (GGA-PBE) on a relaxed structure of GaTcSN2.

The space group is P4/mmm (No. 123) and the conventional cell measures 3.826, 3.826 and 5.142 Å, with angles of 90.00, 90.00 and 90.00 degrees. The inequivalent atoms are Ga at (0.000, 0.000, 0.000), Tc at (0.500, 0.500, 0.500), S at (0.500, 0.500, 0.000) and N at (0.000, 0.500, 0.500).

As for the size of the total moment: 0.0 μB/cell.

***

The least stable of them is one.

***

--- one ---
VASP calculation (GGA-PBE) on a relaxed structure of TlGa2SN.

The space group is P4/mmm (No. 123) and the conventional cell measures 5.707, 5.707 and 5.163 Å, with angles of 90.00, 90.00 and 90.00 degrees. The inequivalent atoms are Tl at (0.000, 0.000, 0.000), Ga at (0.000, 0.500, 0.000), S at (0.000, 0.000, 0.500) and N at (0.500, 0.500, 0.500).

As for the size of the total moment: 2.3 μB/cell.

***

--- two ---
VASP calculation (GGA-PBE) on a relaxed structure of TlGa2SN.

The space group is P4/mmm (No. 123) and the conventional cell measures 4.888, 4.888 and 6.319 Å, with angles of 90.00, 90.00 and 90.00 degrees. The inequivalent atoms are Tl at (0.000, 0.000, 0.000), Ga at (0.000, 0.500, 0.500), S at (0.000, 0.000, 0.500) and N at (0.500, 0.500, 0.000).

As for the size of the total moment: 1.7 μB/cell.

***

The least stable of them is one.